Record 1
9
Lattice="4.312 0.000 0.000 0.035 5.031 0.000 2.152 0.024 6.079" Properties=species:S:1:pos:R:3 comment="NaZnBF6 (GGA-PBE, relaxed)" formation_energy_uncorrected_ev_per_atom=-2.61 dft_energy_ev_per_atom=-4.89 magnetic_moment_mub_per_fu=0.03 pbc="T T T"
Na 0.000 0.000 0.000
Zn 4.318 2.539 4.039
B 2.161 2.527 1.555
F 1.230 3.251 2.363
F 1.469 1.597 0.755
F 3.189 3.885 4.518
F 3.091 1.813 2.371
F 2.853 3.452 0.747
F 5.442 1.195 4.530

=====

Record 2
5
Lattice="4.374 0.000 0.000 0.000 4.374 0.000 0.000 0.000 4.374" Properties=species:S:1:pos:R:3 comment="Nb3BF (GGA-PBE, relaxed)" formation_energy_uncorrected_ev_per_atom=0.34 dft_energy_ev_per_atom=-7.41 magnetic_moment_mub_per_fu=0.00 pbc="T T T"
Nb 0.000 0.000 2.187
Nb 0.000 2.187 0.000
Nb 2.187 0.000 0.000
B 0.000 0.000 0.000
F 2.187 2.187 2.187

=====

Record 3
4
Lattice="1.333 0.770 7.350 -1.333 0.770 7.350 0.000 -1.540 7.350" Properties=species:S:1:pos:R:3 comment="NbBF2 (GGA-PBE, relaxed)" formation_energy_uncorrected_ev_per_atom=-0.41 dft_energy_ev_per_atom=-5.53 magnetic_moment_mub_per_fu=0.00 pbc="T T T"
Nb 0.000 0.000 0.000
B 0.000 0.000 11.025
F 0.000 0.000 9.513
F 0.000 0.000 12.537